[1]
The following is a PBE-GGA calculation of ScZnAg after structural relaxation, from the Alexandria database.

a = 6.449 Å, b = 6.449 Å, c = 6.449 Å
α = 90.00°, β = 90.00°, γ = 90.00°
Space group F-43m (No. 216)
Inequivalent atoms, fractional coordinates:
Sc: 0.000 0.000 0.000 x4
Zn: 0.250 0.250 0.250 x4
Ag: 0.250 0.250 0.750 x4

Properties
- DOS(E_F) (states/eV per cell) = 8.30
- DFT total energy (eV per cell) = -39.37



[2]
The following is a PBE-GGA calculation of ZrZn2As after structural relaxation, from the Alexandria database.

a = 3.933 Å, b = 3.933 Å, c = 4.481 Å
α = 90.00°, β = 90.00°, γ = 90.00°
Space group P4/mmm (No. 123)
Inequivalent atoms, fractional coordinates:
Zr: 0.000 0.000 0.000 x1
Zn: 0.000 0.500 0.500 x2
As: 0.500 0.500 0.000 x1

Properties
- DOS(E_F) (states/eV per cell) = 1.71
- DFT total energy (eV per cell) = -17.24



| no. | formation enthalpy at 0 K (eV per atom) |
| --- | --- |
| 1 | 0.20 |
| 2 | -0.37 |